(1)
Below is AlPtSe3 after structural relaxation, with properties calculated at the PBEsol level.

Computed properties:
The uncorrected formation energy comes out at 0.427 eV per atom. For the density of states at the Fermi level, the calculation gives 7.00 states/eV/cell. Its symmetry is Pm-3m, No. 221.

POSCAR file:
```
AlPtSe3
1.0
4.900 0.000 0.000
0.000 4.900 0.000
0.000 0.000 4.900
Al Pt Se
1 1 3
Direct
0.000 0.000 0.000
0.500 0.500 0.500
0.000 0.500 0.500
0.500 0.000 0.500
0.500 0.500 0.000
```



(2)
Below is AlPt2Se after structural relaxation, with properties calculated at the PBEsol level.

Computed properties:
The uncorrected formation energy comes out at -0.421 eV per atom. For the density of states at the Fermi level, the calculation gives 1.28 states/eV/cell. Its symmetry is Pmmm, No. 47.

POSCAR file:
```
AlPt2Se
1.0
2.847 0.000 0.000
0.000 3.195 0.000
0.000 0.000 6.898
Al Pt Se
1 2 1
Direct
0.000 0.000 0.000
0.500 0.500 0.209
0.500 0.500 0.791
0.000 0.000 0.500
```



(3)
Below is AlPt4Se after structural relaxation, with properties calculated at the PBEsol level.

Computed properties:
The uncorrected formation energy comes out at 0.183 eV per atom. For the density of states at the Fermi level, the calculation gives 5.35 states/eV/cell. Its symmetry is F-43m, No. 216.

POSCAR file:
```
AlPt4Se
1.0
0.000 3.695 3.695
3.695 0.000 3.695
3.695 3.695 0.000
Al Pt Se
1 4 1
Direct
0.000 0.000 0.000
0.124 0.625 0.625
0.625 0.124 0.625
0.625 0.625 0.124
0.625 0.625 0.625
0.250 0.250 0.250
```



(4)
Below is AlPt2Se after structural relaxation, with properties calculated at the PBEsol level.

Computed properties:
The uncorrected formation energy comes out at -0.201 eV per atom. For the density of states at the Fermi level, the calculation gives 13.75 states/eV/cell. Its symmetry is Fm-3m, No. 225.

POSCAR file:
```
AlPt2Se
1.0
6.295 0.000 0.000
0.000 6.295 0.000
0.000 0.000 6.295
Al Pt Se
4 8 4
Direct
0.000 0.000 0.000
0.000 0.500 0.500
0.500 0.000 0.500
0.500 0.500 0.000
0.250 0.250 0.250
0.250 0.250 0.750
0.250 0.750 0.250
0.250 0.750 0.750
0.750 0.250 0.250
0.750 0.250 0.750
0.750 0.750 0.250
0.750 0.750 0.750
0.000 0.000 0.500
0.000 0.500 0.000
0.500 0.000 0.000
0.500 0.500 0.500
```



(5)
Below is AlSiPt3 after structural relaxation, with properties calculated at the PBEsol level.

Computed properties:
The uncorrected formation energy comes out at 0.185 eV per atom. For the density of states at the Fermi level, the calculation gives 2.29 states/eV/cell. Its symmetry is Pm-3m, No. 221.

POSCAR file:
```
AlSiPt3
1.0
4.464 0.000 0.000
0.000 4.464 0.000
0.000 0.000 4.464
Al Si Pt
1 1 3
Direct
0.000 0.000 0.000
0.500 0.500 0.500
0.000 0.500 0.500
0.500 0.000 0.500
0.500 0.500 0.000
```



(6)
Below is Al2SiPt after structural relaxation, with properties calculated at the PBEsol level.

Computed properties:
The uncorrected formation energy comes out at -0.385 eV per atom. For the density of states at the Fermi level, the calculation gives 1.20 states/eV/cell. Its symmetry is P2/m, No. 10.

POSCAR file:
```
Al2SiPt
1.0
3.693 0.000 0.000
0.000 2.882 0.000
-0.201 0.000 5.424
Al Si Pt
2 1 1
Direct
0.002 0.000 0.252
0.998 0.000 0.748
0.500 0.500 0.500
0.500 0.500 0.000
```



(7)
Below is Tb2Al6Si4Pt after structural relaxation, with properties calculated at the PBEsol level.

Computed properties:
The uncorrected formation energy comes out at -0.533 eV per atom. For the density of states at the Fermi level, the calculation gives 3.42 states/eV/cell. Its symmetry is R-3m, No. 166.

POSCAR file:
```
Tb2Al6Si4Pt
1.0
2.068 1.194 16.758
-2.068 1.194 16.758
0.000 -2.388 16.758
Tb Al Si Pt
2 6 4 1
Direct
0.066 0.066 0.066
0.934 0.934 0.934
0.182 0.182 0.182
0.315 0.315 0.315
0.450 0.450 0.450
0.550 0.550 0.550
0.685 0.685 0.685
0.818 0.818 0.818
0.234 0.234 0.234
0.365 0.365 0.365
0.635 0.635 0.635
0.766 0.766 0.766
0.500 0.500 0.500
```



(8)
Below is Sr2AlPt after structural relaxation, with properties calculated at the PBEsol level.

Computed properties:
Its calculated formation energy is -0.344 eV/atom. For the density of states at the Fermi level, the calculation gives 2.72 states/eV/cell. Its symmetry is P4/mmm, No. 123.

POSCAR file:
```
Sr2AlPt
1.0
3.743 0.000 0.000
0.000 3.743 0.000
0.000 0.000 7.474
Sr Al Pt
2 1 1
Direct
0.000 0.000 0.227
0.000 0.000 0.773
0.500 0.500 0.500
0.500 0.500 0.000
```



(9)
Below is Sr2AlPt after structural relaxation, with properties calculated at the PBEsol level.

Computed properties:
Its calculated formation energy is -0.561 eV/atom. For the density of states at the Fermi level, the calculation gives 5.09 states/eV/cell. Its symmetry is Amm2, No. 38.

POSCAR file:
```
Sr2AlPt
1.0
4.297 0.000 0.000
0.000 4.714 0.000
0.000 0.000 11.387
Sr Al Pt
4 2 2
Direct
0.000 0.000 0.000
0.000 0.500 0.500
0.500 0.000 0.290
0.500 0.500 0.790
0.000 0.000 0.693
0.000 0.500 0.193
0.500 0.000 0.589
0.500 0.500 0.089
```



(10)
Below is SrAl2Pt2 after structural relaxation, with properties calculated at the PBEsol level.

Computed properties:
Its calculated formation energy is -0.962 eV/atom. For the density of states at the Fermi level, the calculation gives 4.24 states/eV/cell. Its symmetry is I4/mmm, No. 139.

POSCAR file:
```
SrAl2Pt2
1.0
4.178 0.000 0.000
0.000 4.178 0.000
0.000 0.000 11.143
Sr Al Pt
2 4 4
Direct
0.000 0.000 0.000
0.500 0.500 0.500
0.000 0.500 0.250
0.000 0.500 0.750
0.500 0.000 0.250
0.500 0.000 0.750
0.000 0.000 0.376
0.000 0.000 0.624
0.500 0.500 0.124
0.500 0.500 0.876
```



(11)
Below is SrAl2Pt after structural relaxation, with properties calculated at the PBEsol level.

Computed properties:
Its calculated formation energy is -0.701 eV/atom. For the density of states at the Fermi level, the calculation gives 8.84 states/eV/cell. Its symmetry is R-3m, No. 166.

POSCAR file:
```
SrAl2Pt
1.0
4.296 0.000 0.000
-2.148 3.721 0.000
0.000 0.000 16.840
Sr Al Pt
3 6 3
Direct
0.000 0.000 0.000
0.333 0.667 0.667
0.667 0.333 0.333
0.000 0.000 0.199
0.000 0.000 0.801
0.333 0.667 0.468
0.333 0.667 0.866
0.667 0.333 0.134
0.667 0.333 0.532
0.000 0.000 0.500
0.333 0.667 0.167
0.667 0.333 0.833
```



(12)
Below is SrAl2Pt after structural relaxation, with properties calculated at the PBEsol level.

Computed properties:
Its calculated formation energy is -0.367 eV/atom. For the density of states at the Fermi level, the calculation gives 3.81 states/eV/cell. Its symmetry is Immm, No. 71.

POSCAR file:
```
SrAl2Pt
1.0
3.063 0.000 0.000
0.000 5.267 0.000
0.000 0.000 10.294
Sr Al Pt
2 4 2
Direct
0.000 0.000 0.000
0.500 0.500 0.500
0.000 0.500 0.204
0.000 0.500 0.796
0.500 0.000 0.296
0.500 0.000 0.704
0.000 0.000 0.500
0.500 0.500 0.000
```



(13)
Below is SrAl2Pt after structural relaxation, with properties calculated at the PBEsol level.

Computed properties:
Its calculated formation energy is -0.724 eV/atom. For the density of states at the Fermi level, the calculation gives 6.36 states/eV/cell. Its symmetry is R3m, No. 160.

POSCAR file:
```
SrAl2Pt
1.0
4.345 0.000 0.000
-2.173 3.763 0.000
0.000 0.000 16.866
Sr Al Pt
3 6 3
Direct
0.000 0.000 0.000
0.333 0.667 0.667
0.667 0.333 0.333
0.000 0.000 0.195
0.000 0.000 0.467
0.333 0.667 0.134
0.333 0.667 0.861
0.667 0.333 0.528
0.667 0.333 0.800
0.000 0.000 0.817
0.333 0.667 0.484
0.667 0.333 0.150
```



(14)
Below is TaAlPt after structural relaxation, with properties calculated at the PBEsol level.

Computed properties:
Its calculated formation energy is -0.675 eV/atom. For the density of states at the Fermi level, the calculation gives 1.86 states/eV/cell. Its symmetry is I4mm, No. 107.

POSCAR file:
```
TaAlPt
1.0
2.874 0.000 0.000
0.000 2.874 0.000
0.000 0.000 11.115
Ta Al Pt
2 2 2
Direct
0.000 0.000 0.000
0.500 0.500 0.500
0.000 0.000 0.672
0.500 0.500 0.172
0.000 0.000 0.319
0.500 0.500 0.819
```



(15)
Below is Tb2Al3Pt after structural relaxation, with properties calculated at the PBEsol level.

Computed properties:
Its calculated formation energy is -0.798 eV/atom. For the density of states at the Fermi level, the calculation gives 3.23 states/eV/cell. Its symmetry is R-3m, No. 166.

POSCAR file:
```
Tb2Al3Pt
1.0
2.738 1.581 4.368
-2.738 1.581 4.368
0.000 -3.162 4.368
Tb Al Pt
2 3 1
Direct
0.126 0.126 0.126
0.874 0.874 0.874
0.000 0.500 0.500
0.500 0.000 0.500
0.500 0.500 0.000
0.500 0.500 0.500
```